# NiMoBr2

Crystalline NiMoBr2 at its relaxed geometry (PBE, the Alexandria database).

Summary:
distance to the lowest polymorph of the same formula	0.688	eV per atom
total energy	-17.0	eV/f.u.
uncorrected formation energy	731	meV per atom
spin magnetization	0.00	μB/f.u.
DOS at the Fermi energy	5.22	states/eV/f.u.

a = 5.5758 Å, b = 5.5758 Å, c = 11.2857 Å
α = 90.00°, β = 90.00°, γ = 90.00°
With the nearest neighbours (Å) after each atom.
Space group I-42d (No. 122)
Inequivalent atoms, fractional coordinates:
Ni1 0.0000 0.0000 0.0000 x4  4 Br 2.36
Mo1 0.0000 0.0000 0.5000 x4  4 Br 2.49
Br1 0.2297 0.2500 0.1250 x8  2 Ni 2.36, 2 Mo 2.49